The following is a PBE+U calculation of a relaxed structure of MnVO2, from the Alexandria database.

a = 4.758 Å, b = 4.758 Å, c = 9.475 Å
α = 90.00°, β = 90.00°, γ = 90.00°
Space group I-42d (No. 122)
Asymmetric unit:
Mn: 0.000 0.000 0.000 x4
V: 0.000 0.000 0.500 x4
O: 0.229 0.250 0.625 x8

Results
* E_tot: -7.564 eV per atom